{
  "formula": "EuLu2Mg",
  "functional": "PBE",
  "state": "optimized geometry",
  "total_energy_ev_per_cell": -20.1,
  "dos_at_fermi_per_ev_atom": 1.2759,
  "magnetic_moment_mub_per_fu": 7.90,
  "spacegroup": "R-3m, No. 166",
  "delta_e_f_mev_per_atom": 213,
  "cell": [[1.7183, 0.9921, 12.0780], [-1.7183, 0.9921, 12.0780], [0.0000, -1.9841, 12.0780]],
  "species": ["Eu", "Lu", "Lu", "Mg"],
  "fractional_positions": [[0.0000, 0.0000, 0.0000], [0.0941, 0.0941, 0.0941], [0.9059, 0.9059, 0.9059], [0.5000, 0.5000, 0.5000]]
}

---

{
  "formula": "EuLu2Mg",
  "functional": "PBE",
  "state": "optimized geometry",
  "total_energy_ev_per_cell": -20.5,
  "dos_at_fermi_per_ev_atom": 1.3450,
  "magnetic_moment_mub_per_fu": 7.96,
  "spacegroup": "P4/mmm, No. 123",
  "delta_e_f_mev_per_atom": 94,
  "cell": [[4.9149, 0.0000, 0.0000], [0.0000, 4.9149, 0.0000], [0.0000, 0.0000, 5.0144]],
  "species": ["Eu", "Lu", "Lu", "Mg"],
  "fractional_positions": [[0.0000, 0.0000, 0.0000], [0.0000, 0.5000, 0.5000], [0.5000, 0.0000, 0.5000], [0.5000, 0.5000, 0.0000]]
}

---

{
  "formula": "EuLuMgPb",
  "functional": "PBE",
  "state": "optimized geometry",
  "total_energy_ev_per_cell": -21.1,
  "dos_at_fermi_per_ev_atom": 0.8066,
  "magnetic_moment_mub_per_fu": 7.59,
  "spacegroup": "F-43m, No. 216",
  "delta_e_f_mev_per_atom": -259,
  "cell": [[0.0000, 3.8517, 3.8517], [3.8517, 0.0000, 3.8517], [3.8517, 3.8517, 0.0000]],
  "species": ["Eu", "Lu", "Mg", "Pb"],
  "fractional_positions": [[0.0000, 0.0000, 0.0000], [0.5000, 0.5000, 0.5000], [0.7500, 0.7500, 0.7500], [0.2500, 0.2500, 0.2500]]
}